Record 1
The following is a PBE-GGA calculation of a relaxed structure of LaCeTlAg, from Alexandria via LeMat-Bulk. Values from VASP.

Calculated values
**Energy relative to the lowest polymorph listed for this composition**: 0.000 eV per atom
**Electronic total energy**: -4.249 eV/atom
**Total moment**: 1.7 μB/f.u.
**Calculated formation energy**: -0.230 eV/atom
**Density**: 8.5 g/cm³

Quantum ESPRESSO input file:
```
&SYSTEM
  ibrav = 0, nat = 4, ntyp = 4
/
ATOMIC_SPECIES
Ce 140.12 Ce.upf
Ag 107.87 Ag.upf
Tl 204.38 Tl.upf
La 138.91 La.upf
CELL_PARAMETERS angstrom
-2.266 -2.832 0.952
2.030 -0.583 3.099
-4.782 5.208 4.112
ATOMIC_POSITIONS crystal
Ce 0.000 0.000 0.371
Ag 0.500 0.500 0.601
Tl 0.500 0.500 0.113
La 0.000 0.000 0.844
```

***

Record 2
The following is a PBE-GGA calculation of a relaxed structure of NdDyBe, from Alexandria via LeMat-Bulk. Values from VASP.

Calculated values
**Electronic total energy**: -4.243 eV/atom
**Total moment**: 0.0 μB/f.u.
**Calculated formation energy**: 0.123 eV/atom
**Density**: 6.9 g/cm³

Quantum ESPRESSO input file:
```
&SYSTEM
  ibrav = 0, nat = 3, ntyp = 3
/
ATOMIC_SPECIES
Be 9.01 Be.upf
Dy 162.50 Dy.upf
Nd 144.24 Nd.upf
CELL_PARAMETERS angstrom
-1.925 2.518 -1.564
1.170 -1.068 -3.160
-4.297 -4.568 1.929
ATOMIC_POSITIONS crystal
Be 0.660 0.660 0.320
Dy 0.035 0.035 0.069
Nd 0.306 0.306 0.611
```

***

Record 3
The following is a PBE-GGA calculation of a relaxed structure of LaDy6Er, from Alexandria via LeMat-Bulk. Values from VASP.

Calculated values
**Energy relative to the lowest polymorph listed for this composition**: 0.168 eV per atom
**Electronic total energy**: -4.440 eV/atom
**Total moment**: 0.0 μB/f.u.
**Calculated formation energy**: 0.198 eV/atom
**Density**: 8.2 g/cm³

Quantum ESPRESSO input file:
```
&SYSTEM
  ibrav = 0, nat = 8, ntyp = 3
/
ATOMIC_SPECIES
La 138.91 La.upf
Er 167.26 Er.upf
Dy 162.50 Dy.upf
CELL_PARAMETERS angstrom
-5.791 0.706 -2.996
2.007 -3.957 -4.842
-5.892 -2.421 3.980
ATOMIC_POSITIONS crystal
La 0.000 0.000 0.000
Er 0.000 0.500 0.000
Dy 0.500 0.254 0.000
Dy 0.437 0.237 0.473
Dy 0.910 0.268 0.535
Dy 0.563 0.763 0.527
Dy 0.090 0.732 0.465
Dy 0.500 0.746 0.000
```

***

Record 4
The following is a PBE-GGA calculation of a relaxed structure of ReRuAu2, from Alexandria via LeMat-Bulk. Values from VASP.

Calculated values
**Energy relative to the lowest polymorph listed for this composition**: 0.952 eV per atom
**Electronic total energy**: -5.958 eV/atom
**Total moment**: 1.1 μB/f.u.
**Calculated formation energy**: 1.112 eV/atom
**Density**: 15.9 g/cm³

Quantum ESPRESSO input file:
```
&SYSTEM
  ibrav = 0, nat = 8, ntyp = 3
/
ATOMIC_SPECIES
Au 196.97 Au.upf
Ru 101.07 Ru.upf
Re 186.21 Re.upf
CELL_PARAMETERS angstrom
-4.475 3.811 4.481
-3.985 -6.106 1.214
-2.704 -1.740 4.875
ATOMIC_POSITIONS crystal
Au 0.121 0.625 0.250
Au 0.375 0.371 0.750
Au 0.875 0.879 0.750
Au 0.629 0.125 0.250
Ru 0.500 0.500 0.000
Ru 0.250 0.750 0.500
Re 0.750 0.250 0.500
Re 0.000 0.000 0.000
```

***

What is the calculated formation energy in the first record?
-0.230 eV/atom